Crystalline U2InCo2 at its relaxed geometry. Source: the Open Quantum Materials Database, functional PBE.

Results
Space-group type: P4/mbm, No. 127
Total DFT energy (no corrections) (Ry/atom): -0.589

a b c (Å): 7.4009 7.4009 3.2887
angles (deg): 90.00 90.00 90.00
Element x y z (fractional)
U1 0.1660 0.3340 0.0000
U2 0.3340 0.8340 0.0000
U3 0.6660 0.1660 0.0000
U4 0.8340 0.6660 0.0000
In1 0.0000 0.0000 0.5000
In2 0.5000 0.5000 0.5000
Co1 0.1333 0.6333 0.5000
Co2 0.3667 0.1333 0.5000
Co3 0.6333 0.8667 0.5000
Co4 0.8667 0.3667 0.5000